Density functional theory data (PBE) for crystalline AgP2Rh at its relaxed geometry.

CIF file:
```
data_AgP2Rh
_space_group_name_H-M_alt 'P 1 m 1'
_space_group_IT_number 6
_cell_length_a 3.7716
_cell_length_b 4.5186
_cell_length_c 4.3172
_cell_angle_alpha 90.00
_cell_angle_beta 108.53
_cell_angle_gamma 90.00
loop_
_space_group_symop_operation_xyz
'x,y,z'
'x,-y,z'
loop_
_atom_site_label
_atom_site_fract_x
_atom_site_fract_y
_atom_site_fract_z
Ag1 0.0000 0.0000 0.0000
P1 0.3179 0.5000 0.9146
P2 0.6330 0.0000 0.3939
Rh1 0.6870 0.5000 0.5808
```

Calculated formation energy   0.031 eV per atom